No. 1
# PuHg3Pb2, optimized geometry, DFT GGA-PBE
# ΔE_f ... -0.04 eV per atom
# Density ... 12.77 g cm⁻³
data_PuHg3Pb2
_chemical_formula_sum 'Pu1 Hg3 Pb2'
_symmetry_space_group_name_H-M 'P 4/m m m'
_symmetry_Int_Tables_number 123
_symmetry_space_group_name_Hall '-P 4 2'
_cell_length_a 3.3862
_cell_length_b 3.3862
_cell_length_c 14.2954
_cell_angle_alpha 90.00
_cell_angle_beta 90.00
_cell_angle_gamma 90.00
loop_
_atom_site_label
_atom_site_fract_x
_atom_site_fract_y
_atom_site_fract_z
Pu1 0.0000 0.0000 0.0000
Hg1 0.5000 0.5000 0.1557
Hg2 0.5000 0.5000 0.5000
Pb1 0.0000 0.0000 0.3221

=====

No. 2
# Zr5Ga, optimized geometry, DFT GGA-PBE
# Polymorph energy (0 for the lowest one) ... 46 meV per atom
# ΔE_f ... -0.15 eV per atom
# Density ... 6.63 g cm⁻³
data_Zr5Ga
_chemical_formula_sum 'Zr5 Ga1'
_symmetry_space_group_name_H-M 'P 4/m m m'
_symmetry_Int_Tables_number 123
_symmetry_space_group_name_Hall '-P 4 2'
_cell_length_a 3.1887
_cell_length_b 3.1887
_cell_length_c 12.9558
_cell_angle_alpha 90.00
_cell_angle_beta 90.00
_cell_angle_gamma 90.00
loop_
_atom_site_label
_atom_site_fract_x
_atom_site_fract_y
_atom_site_fract_z
Zr1 0.0000 0.0000 0.0000
Zr2 0.0000 0.0000 0.3521
Zr3 0.5000 0.5000 0.1741
Ga1 0.5000 0.5000 0.5000